Record 1
VASP calculation (PBE) on an optimized crystal structure of NaEuYHg.

Output
Crystal system ... cubic
Final energy ... -75.0 eV per cell
Energy relative to the elements ... -0.099 eV per atom
D(E_F) ... 2.009 states/eV/atom

a = 7.7752 Å, b = 7.7752 Å, c = 7.7752 Å
α = 90.00°, β = 90.00°, γ = 90.00°
With the nearest neighbours (Å) after each atom.
Space group F-43m (No. 216)
One atom of each set of equivalent atoms:
Na 0.0000 0.0000 0.0000  4 Y 3.37, 4 Eu 3.37
Eu 0.2500 0.2500 0.2500  4 Hg 3.37, 4 Na 3.37
Y 0.2500 0.2500 0.7500  4 Hg 3.37, 4 Na 3.37
Hg 0.0000 0.0000 0.5000  4 Eu 3.37, 4 Y 3.37

=====

Record 2
VASP calculation (PBE) on an optimized crystal structure of NdEuHg.

Output
Crystal system ... trigonal
Final energy ... -15.9 eV per cell
Energy relative to the elements ... -0.193 eV per atom
D(E_F) ... 0.917 states/eV/atom

a = 5.3069 Å, b = 5.3069 Å, c = 3.8786 Å
α = 90.00°, β = 90.00°, γ = 120.00°
With the nearest neighbours (Å) after each atom.
Space group P3m1 (No. 156)
One atom of each set of equivalent atoms:
Nd 0.0000 0.0000 0.0000  3 Hg 3.20, 3 Eu 3.50
Eu 0.3333 0.6667 0.4388  3 Hg 3.31, 3 Nd 3.50
Hg 0.6667 0.3333 0.7599  3 Nd 3.20, 3 Eu 3.31

=====

Record 3
VASP calculation (PBE) on an optimized crystal structure of Nd2EuHg.

Output
Crystal system ... tetragonal
Final energy ... -20.9 eV per cell
Energy relative to the elements ... -0.187 eV per atom
D(E_F) ... 1.139 states/eV/atom

a = 3.8320 Å, b = 3.8320 Å, c = 8.9989 Å
α = 90.00°, β = 90.00°, γ = 90.00°
With the nearest neighbours (Å) after each atom.
Space group P4/mmm (No. 123)
One atom of each set of equivalent atoms:
Nd 0.0000 0.0000 0.2087  4 Hg 3.30
Eu 0.5000 0.5000 0.5000  8 Nd 3.77, 4 Eu 3.83
Hg 0.5000 0.5000 0.0000  8 Nd 3.30